Entry 1:
Computed, not measured: LiCuPO4 at its PBEsol-relaxed geometry at the SCAN level of DFT. Values from VASP.

Properties
- Energy above the most stable polymorph in this dataset: 0.019 eV/atom
- E_form (uncorrected): -197.37 kJ per mole of atoms
- M_tot: 6.00 μB/cell
- DFT total energy: -9.60 eV/atom

Structure (Quantum ESPRESSO input):
```
&SYSTEM
  ibrav = 0, nat = 42, ntyp = 4
/
ATOMIC_SPECIES
Li 6.94 Li.upf
P 30.97 P.upf
O 16.00 O.upf
Cu 63.55 Cu.upf
ATOMIC_POSITIONS angstrom
Li 3.574 2.671 1.409
P 1.816 4.924 2.804
P -0.207 1.840 5.655
O 3.123 4.149 2.482
P -2.143 6.043 2.013
O 1.642 -1.227 2.582
Cu -1.433 0.232 3.336
O 3.000 0.374 4.897
Cu 4.463 4.269 3.872
O -2.400 4.788 2.881
O 5.421 0.264 4.405
O 5.931 0.535 0.153
O 2.222 2.435 0.028
P -0.145 -2.296 6.315
Li 1.455 -0.581 4.409
Cu 3.197 -0.482 1.670
O 5.291 2.952 0.518
P 4.137 1.106 4.132
O -1.400 1.663 6.644
Cu 2.706 1.049 6.687
O 2.011 6.335 2.167
Li 3.507 6.756 0.900
O 5.027 6.970 2.071
Cu 0.657 3.566 0.298
O 1.692 5.104 4.341
O -1.899 5.619 0.548
Cu 0.175 4.742 5.534
Li -3.116 2.685 6.468
O 1.072 2.120 6.489
Li 5.367 -1.555 5.247
O -1.669 1.799 2.201
O 3.796 1.180 2.632
O -0.558 3.101 4.817
P 6.409 1.898 0.702
O -1.297 -2.409 5.292
O 0.605 4.179 2.214
O 1.200 -2.136 5.566
O 4.345 2.515 4.748
O 5.107 -1.166 7.120
O -2.666 4.425 7.173
O -0.032 0.625 4.726
Li -0.996 3.434 3.018
CELL_PARAMETERS angstrom
8.410 0.002 0.002
-2.560 8.011 0.002
-2.560 -3.507 7.203
```

Entry 2:
Computed, not measured: Ag2TeO4 at its PBEsol-relaxed geometry at the SCAN level of DFT. Values from VASP.

Properties
- Energy above the most stable polymorph in this dataset: 0.126 eV/atom
- E_form (uncorrected): -53.79 kJ per mole of atoms
- M_tot: 0.00 μB/cell
- DFT total energy: -18.40 eV/atom

Structure (Quantum ESPRESSO input):
```
&SYSTEM
  ibrav = 0, nat = 14, ntyp = 3
/
ATOMIC_SPECIES
O 16.00 O.upf
Te 127.60 Te.upf
Ag 107.87 Ag.upf
ATOMIC_POSITIONS angstrom
O -3.227 0.855 -3.110
Te -3.489 3.166 0.895
O -3.669 -5.045 1.625
O -3.564 -2.923 3.810
O -3.122 2.976 -0.924
Ag -2.111 -2.473 -2.389
O -3.402 -3.510 -0.899
Te -3.301 -5.235 -0.194
Ag -4.680 0.405 3.089
O -3.389 1.442 1.599
Ag -4.045 -2.193 1.577
O -2.107 -1.253 0.980
O -4.684 -0.815 -0.280
Ag -2.746 0.125 -0.876
CELL_PARAMETERS angstrom
-3.055 5.206 0.182
-0.937 -3.456 -4.863
-2.798 -3.818 5.382
```

Entry 3:
Computed, not measured: Mg2InNiRh at its PBEsol-relaxed geometry at the SCAN level of DFT. Values from VASP.

Properties
- Energy relative to the elements: 1030.7 meV per atom
- M_tot: 1.02 μB/cell
- DFT total energy: -17.62 eV/atom

Structure (Quantum ESPRESSO input):
```
&SYSTEM
  ibrav = 0, nat = 5, ntyp = 4
/
ATOMIC_SPECIES
Mg 24.30 Mg.upf
Rh 102.91 Rh.upf
Ni 58.69 Ni.upf
In 114.82 In.upf
ATOMIC_POSITIONS angstrom
Mg -0.125 -2.412 -0.617
Rh -0.159 -3.244 2.639
Ni -1.686 -0.289 1.470
Mg 1.651 -0.543 1.787
In 0.000 0.000 0.000
CELL_PARAMETERS angstrom
-3.372 -0.578 2.939
-0.249 -4.824 -1.235
3.302 -1.085 3.575
```

Entry 4:
Computed, not measured: LaRu2W2 at its PBEsol-relaxed geometry at the SCAN level of DFT. Values from VASP.

Properties
- Energy relative to the elements: -57.4 meV per atom
- M_tot: 0.00 μB/cell
- DFT total energy: -50.48 eV/atom

Structure (Quantum ESPRESSO input):
```
&SYSTEM
  ibrav = 0, nat = 5, ntyp = 3
/
ATOMIC_SPECIES
Ru 101.07 Ru.upf
W 183.84 W.upf
La 138.91 La.upf
ATOMIC_POSITIONS angstrom
Ru -1.913 -0.571 3.294
W -2.442 -1.965 1.288
La 0.000 0.000 0.000
W 0.195 -1.835 2.843
Ru -0.334 -3.229 0.837
CELL_PARAMETERS angstrom
-2.296 -3.158 -1.881
2.979 -2.897 1.228
-2.930 2.255 4.783
```

Which of these has the highest DFT total energy?
LiCuPO4

The lowest DFT total energy belongs to which entry?
LaRu2W2

Look up the DFT total energy of the first one.
-9.60 eV/atom